1.
This record from the Alexandria database describes crystalline Rb3CaO at its relaxed geometry. The functional is GGA-PBE.

Cell lengths 6.013, 6.013, 6.013 Å; angles 90.00, 90.00, 90.00 degrees
Positions (direct):
1 Rb 0.000 0.000 0.500
2 Rb 0.000 0.500 0.000
3 Rb 0.500 0.000 0.000
4 Ca 0.500 0.500 0.500
5 O 0.000 0.000 0.000

Summary:
Its energy relative to the elements, uncorrected is -254 meV/atom. The calculation puts the total magnetic moment at 0.00 μB/f.u. The density of states at the Fermi level is 1.072 states/eV per atom. The calculation puts the polymorph energy (0 for the lowest one) at 0.000 eV/atom.

=====

2.
This record from the Alexandria database describes crystalline K9Rb2Ba at its relaxed geometry. The functional is GGA-PBE.

Cell lengths 6.633, 6.633, 20.320 Å; angles 90.00, 90.00, 90.00 degrees
Positions (direct):
1 K 0.000 0.000 0.000
2 K 0.000 0.000 0.333
3 K 0.000 0.000 0.667
4 K 0.000 0.500 0.162
5 K 0.000 0.500 0.500
6 K 0.000 0.500 0.838
7 K 0.500 0.000 0.162
8 K 0.500 0.000 0.500
9 K 0.500 0.000 0.838
10 Rb 0.500 0.500 0.329
11 Rb 0.500 0.500 0.671
12 Ba 0.500 0.500 0.000

Summary:
The calculation puts the total magnetic moment at 0.24 μB/f.u. As for the formation energy: 0.040 eV per atom. The density of states at the Fermi level is 0.875 states/eV per atom.

=====

3.
This record from the Alexandria database describes crystalline Ho2TlSb at its relaxed geometry. The functional is GGA-PBE.

Cell lengths 8.601, 8.601, 8.601 Å; angles 27.66, 27.66, 27.66 degrees
Positions (direct):
1 Ho 0.000 0.000 0.000
2 Ho 0.182 0.182 0.182
3 Tl 0.758 0.758 0.758
4 Sb 0.590 0.590 0.590

Summary:
Its energy relative to the elements, uncorrected is -558 meV/atom. The calculation puts the total magnetic moment at 0.00 μB/f.u. The density of states at the Fermi level is 0.529 states/eV per atom. The calculation puts the polymorph energy (0 for the lowest one) at 0.139 eV/atom.

=====

4.
This record from the Alexandria database describes crystalline SmTiCu at its relaxed geometry. The functional is GGA-PBE.

Cell lengths 6.136, 6.136, 6.136 Å; angles 148.97, 148.97, 44.46 degrees
Positions (direct):
1 Sm 0.000 0.000 0.000
2 Ti 0.699 0.699 0.000
3 Cu 0.307 0.307 0.000

Summary:
The calculation puts the total magnetic moment at 0.00 μB/f.u. As for the formation energy: 0.058 eV per atom. The density of states at the Fermi level is 1.485 states/eV per atom. The calculation puts the polymorph energy (0 for the lowest one) at 0.000 eV/atom.

=====

5.
This record from the Alexandria database describes crystalline K2Ca4USi4O16 at its relaxed geometry. The functional is GGA-PBE.

Cell lengths 6.725, 6.760, 9.807 Å; angles 98.50, 93.42, 112.25 degrees
Positions (direct):
1 K 0.173 0.319 0.040
2 K 0.827 0.681 0.960
3 Ca 0.241 0.483 0.427
4 Ca 0.275 0.031 0.612
5 Ca 0.725 0.969 0.388
6 Ca 0.759 0.517 0.573
7 U 0.500 0.000 0.000
8 Si 0.174 0.914 0.287
9 Si 0.253 0.523 0.734
10 Si 0.747 0.477 0.266
11 Si 0.826 0.086 0.713
12 O 0.057 0.302 0.765
13 O 0.123 0.102 0.385
14 O 0.147 0.645 0.637
15 O 0.244 0.975 0.136
16 O 0.338 0.844 0.379
17 O 0.342 0.074 0.865
18 O 0.358 0.655 0.893
19 O 0.415 0.443 0.643
20 O 0.585 0.557 0.357
21 O 0.642 0.345 0.107
22 O 0.658 0.926 0.135
23 O 0.662 0.156 0.621
24 O 0.756 0.025 0.864
25 O 0.853 0.355 0.363
26 O 0.877 0.898 0.615
27 O 0.943 0.698 0.235

Summary:
Its energy relative to the elements, uncorrected is -2936 meV/atom. The calculation puts the total magnetic moment at 0.00 μB/f.u. The density of states at the Fermi level is 0.000 states/eV per atom.

=====

6.
This record from the Alexandria database describes crystalline KRb2WI6 at its relaxed geometry. The functional is GGA-PBE.

Cell lengths 8.703, 8.703, 8.703 Å; angles 60.00, 60.00, 60.00 degrees
Positions (direct):
1 K 0.000 0.000 0.000
2 Rb 0.250 0.250 0.250
3 Rb 0.750 0.750 0.750
4 W 0.500 0.500 0.500
5 I 0.272 0.272 0.728
6 I 0.272 0.728 0.272
7 I 0.272 0.728 0.728
8 I 0.728 0.272 0.272
9 I 0.728 0.272 0.728
10 I 0.728 0.728 0.272

Summary:
Its energy relative to the elements, uncorrected is -795 meV/atom. The calculation puts the total magnetic moment at 3.00 μB/f.u. The density of states at the Fermi level is 0.000 states/eV per atom.

=====

7.
This record from the Alexandria database describes crystalline NbTe2SeI at its relaxed geometry. The functional is GGA-PBE.

Cell lengths 5.400, 5.400, 5.614 Å; angles 90.00, 90.00, 90.00 degrees
Positions (direct):
1 Nb 0.000 0.000 0.000
2 Te 0.000 0.500 0.500
3 Te 0.500 0.000 0.500
4 Se 0.500 0.500 0.500
5 I 0.500 0.500 0.000

Summary:
Its energy relative to the elements, uncorrected is 969 meV/atom. The calculation puts the total magnetic moment at 2.67 μB/f.u. The density of states at the Fermi level is 1.110 states/eV per atom. The calculation puts the polymorph energy (0 for the lowest one) at 0.628 eV/atom.

=====

8.
This record from the Alexandria database describes crystalline SiB2PdN at its relaxed geometry. The functional is GGA-PBE.

Cell lengths 3.984, 3.984, 4.329 Å; angles 90.00, 90.00, 90.00 degrees
Positions (direct):
1 Si 0.000 0.000 0.000
2 B 0.000 0.500 0.500
3 B 0.500 0.000 0.500
4 Pd 0.500 0.500 0.500
5 N 0.500 0.500 0.000

Summary:
Its energy relative to the elements, uncorrected is 1844 meV/atom. The calculation puts the total magnetic moment at 0.15 μB/f.u. The density of states at the Fermi level is 0.652 states/eV per atom.